[1]
The following is a DFT calculation (PBE-GGA) of a geometry-optimized InMo2W structure.

POSCAR file:
```
InMo2W
1.0
1.514 0.874 8.914
-1.514 0.874 8.914
0.000 -1.749 8.914
In Mo W
1 2 1
direct
0.000 0.000 0.000
0.243 0.243 0.243
0.757 0.757 0.757
0.500 0.500 0.500
```

Values from the calculation:
energy of formation: 0.429 eV per atom
symmetry: R-3m, No. 166

=====

[2]
The following is a DFT calculation (PBE-GGA) of a geometry-optimized InMo2W structure.

POSCAR file:
```
InMo2W
1.0
2.788 0.000 0.000
0.000 4.516 0.000
-1.284 0.000 5.410
In Mo W
1 2 1
direct
0.000 0.000 0.000
0.498 0.000 0.499
0.719 0.500 0.255
0.274 0.500 0.735
```

Values from the calculation:
energy of formation: 0.343 eV per atom
symmetry: Pm, No. 6

=====

[3]
The following is a DFT calculation (PBE-GGA) of a geometry-optimized InMo2W structure.

POSCAR file:
```
InMo2W
1.0
3.175 0.000 0.000
0.000 3.175 0.000
0.000 0.000 6.901
In Mo W
1 2 1
direct
0.000 0.000 0.000
0.000 0.000 0.498
0.500 0.500 0.280
0.500 0.500 0.716
```

Values from the calculation:
energy of formation: 0.381 eV per atom
symmetry: P4mm, No. 99

=====

[4]
The following is a DFT calculation (PBE-GGA) of a geometry-optimized InMo2W structure.

POSCAR file:
```
InMo2W
1.0
1.621 -2.322 0.000
1.621 2.322 0.000
0.000 0.000 9.147
In Mo W
1 2 1
direct
0.000 0.000 0.000
0.500 0.500 0.265
0.500 0.500 0.735
0.000 0.000 0.500
```

Values from the calculation:
energy of formation: 0.227 eV per atom
symmetry: Cmmm, No. 65

=====

[5]
The following is a DFT calculation (PBE-GGA) of a geometry-optimized InMo3W structure.

POSCAR file:
```
InMo3W
1.0
4.781 0.000 0.000
0.000 4.781 0.000
0.000 0.000 4.781
In Mo W
1 3 1
direct
0.000 0.000 0.000
0.000 0.500 0.500
0.500 0.000 0.500
0.500 0.500 0.000
0.500 0.500 0.500
```

Values from the calculation:
energy of formation: 1.600 eV per atom
symmetry: Pm-3m, No. 221

=====

[6]
The following is a DFT calculation (PBE-GGA) of a geometry-optimized Y2InMo structure.

POSCAR file:
```
Y2InMo
1.0
3.668 0.000 0.000
0.000 3.668 0.000
0.000 0.000 7.436
Y In Mo
2 1 1
direct
0.000 0.000 0.000
0.500 0.500 0.347
0.000 0.000 0.588
0.500 0.500 0.758
```

Values from the calculation:
energy of formation: 0.161 eV per atom
symmetry: P4mm, No. 99

=====

[7]
The following is a DFT calculation (PBE-GGA) of a geometry-optimized Y2InMo structure.

POSCAR file:
```
Y2InMo
1.0
1.720 0.993 9.845
-1.720 0.993 9.845
0.000 -1.987 9.845
Y In Mo
2 1 1
direct
0.242 0.242 0.242
0.758 0.758 0.758
0.000 0.000 0.000
0.500 0.500 0.500
```

Values from the calculation:
energy of formation: 0.192 eV per atom
symmetry: R-3m, No. 166

=====

[8]
The following is a DFT calculation (PBE-GGA) of a geometry-optimized YInMo2 structure.

POSCAR file:
```
YInMo2
1.0
3.026 0.000 0.000
0.000 4.988 0.000
-0.590 0.000 5.486
Y In Mo
1 1 2
direct
0.000 0.000 0.000
0.500 0.000 0.500
0.327 0.500 0.789
0.673 0.500 0.211
```

Values from the calculation:
energy of formation: 0.373 eV per atom
symmetry: P2/m, No. 10